(1)
10
Lattice="-2.4169 -0.4820 -3.3231 3.6408 -6.8642 -1.6522 -5.3209 -3.8895 4.4341" Properties=species:S:1:pos:R:3 comment="La2YAs2 | Alexandria | meta-GGA SCAN | single point on PBEsol structure" formation_energy_ev_per_atom=-1.386 dft_energy_ev_per_fu=-161.4 pbc="T T T"
La -3.3742 -8.0057 1.0399
La 0.0221 -7.4483 -1.5110
La -0.7228 -3.2301 -1.5812
La -4.1191 -3.7874 0.9698
As -1.2487 -2.4134 1.2582
As -3.2359 -5.6275 3.1697
As 1.5557 -5.1262 -0.3879
As -0.4315 -8.3403 1.5236
Y -0.8401 -5.3769 1.3909
Y 0.0000 0.0000 0.0000


(2)
56
Lattice="-4.5778 -5.1644 -1.4198 0.9283 -2.9767 7.8344 -10.6412 8.2266 4.3865" Properties=species:S:1:pos:R:3 comment="La2Se3O9 | Alexandria | meta-GGA SCAN | single point on PBEsol structure" dft_energy_ev_per_fu=-232.0 pbc="T T T"
O -4.8629 -4.4612 -0.0568
O -4.7511 -6.5397 5.3031
O -5.8865 1.9771 6.6616
O -9.4725 -1.2483 9.2080
O -11.7619 5.8493 4.2913
O -11.6568 -0.6253 7.1166
O -2.2217 -1.6293 4.6974
O -11.3949 4.3395 6.4747
O -2.5288 -5.7638 6.5099
O -2.8958 -4.2540 4.3265
O -6.3478 4.1577 4.1823
O -2.6339 0.7109 3.6845
O -4.2627 -0.0514 5.5387
O -6.6430 -1.3571 5.8712
O -3.9395 -5.3432 2.2991
O -6.9935 -2.3121 8.3503
O -3.2305 -2.8123 2.0015
O -11.0602 2.8979 8.7997
O -6.4223 -0.3447 3.3172
O -7.8684 0.4303 7.4839
O -7.9429 -4.0721 6.6189
O -11.5135 0.3296 10.0493
O -4.8182 1.3339 1.5932
O -10.0280 0.1369 5.2624
O -10.4139 2.7888 3.7288
O -7.2972 2.3977 2.4509
O -7.6477 1.4426 4.9300
O -12.0690 1.7148 6.1038
O -8.4042 -1.8916 4.1395
O -9.5396 6.6253 5.4980
O -8.6101 -1.5643 1.4878
O -5.6806 1.6499 9.3134
O -9.4278 4.5467 10.8580
O -3.8768 -2.7032 7.0723
O -2.7772 -0.2440 0.7518
O -10.3512 5.4288 8.5021
La -1.3855 -3.5098 6.1078
La -8.9310 0.5228 3.0551
La -12.9053 3.5953 4.6934
La -9.0912 -1.6699 6.7786
La -5.3598 -0.4373 7.7461
La -13.0655 1.4026 8.4169
La -1.2252 -1.3170 2.3842
La -5.1995 1.7555 4.0225
Se -6.6693 -1.7857 4.2229
Se -10.2546 3.9070 7.6638
Se -11.7253 0.1112 5.5692
Se -4.4981 -0.1940 0.8593
Se -9.7926 0.2796 9.9419
Se -7.6214 1.8713 6.5783
Se -4.0361 -3.8214 3.1374
Se -4.2128 -6.0327 6.8558
Se -10.0779 6.1183 3.9453
Se -6.8460 -3.9970 7.9413
Se -2.5654 -0.0256 5.2320
Se -7.4447 4.0826 2.8598


(3)
4
Lattice="4.8337 0.0000 0.0000 2.4169 4.1861 0.0000 2.4169 1.3954 3.9467" Properties=species:S:1:pos:R:3 comment="LiHo2Rh | Alexandria | meta-GGA SCAN | single point on PBEsol structure" formation_energy_ev_per_atom=-0.597 dft_energy_ev_per_fu=-136.5 pbc="T T T"
Ho 2.4169 1.3954 0.9867
Ho 7.2506 4.1861 2.9600
Li 4.8337 2.7907 1.9734
Rh 0.0000 0.0000 0.0000


(4)
5
Lattice="-3.1845 -3.4335 -2.0677 4.6014 -2.1672 -3.4881 1.4642 -4.0285 4.4344" Properties=species:S:1:pos:R:3 comment="SrBiPb2Cl | Alexandria | meta-GGA SCAN | single point on PBEsol structure" dft_energy_ev_per_fu=-260.4 pbc="T T T"
Cl -1.5922 -1.7167 -1.0339
Sr 0.0000 0.0000 0.0000
Bi 1.4405 -4.8146 -0.5607
Pb 2.3007 -1.0836 -1.7440
Pb 0.7321 -2.0142 2.2172


(5)
5
Lattice="-1.4191 0.1171 -4.5912 -4.0780 -2.2425 1.2033 -2.8754 5.7850 1.0363" Properties=species:S:1:pos:R:3 comment="SrBeIN2 | Alexandria | meta-GGA SCAN | single point on PBEsol structure" dft_energy_ev_per_fu=-74.5 pbc="T T T"
I -1.4377 2.8925 0.5181
N -2.0390 -1.1212 0.6016
N -0.7095 0.0585 -2.2956
Be -4.1862 1.8298 -1.1758
Sr 0.0000 0.0000 0.0000


(6)
4
Lattice="-1.6479 -2.1837 0.0117 2.0993 0.1064 -4.3112 4.6497 -3.4954 2.5380" Properties=species:S:1:pos:R:3 comment="SrMo2Au | Alexandria | meta-GGA SCAN | single point on PBEsol structure" formation_energy_ev_per_atom=0.593 dft_energy_ev_per_fu=-158.8 pbc="T T T"
Sr 1.5401 -2.8695 1.2070
Mo 0.6451 -2.2093 -1.6595
Mo 0.5363 -2.1404 -4.1298
Au 4.3320 -3.2702 -0.2038


(7)
6
Lattice="5.4702 0.0000 0.0000 2.7351 4.7374 0.0000 2.7351 1.5791 4.4664" Properties=species:S:1:pos:R:3 comment="MgAg4Sb | Alexandria | meta-GGA SCAN | single point on PBEsol structure" dft_energy_ev_per_fu=-167.8 pbc="T T T"
Ag 5.4702 4.7320 1.6768
Ag 5.4702 3.1582 3.9025
Ag 4.1073 2.3714 1.6768
Ag 6.8332 2.3714 1.6768
Sb 0.0000 0.0000 0.0000
Mg 8.2054 4.7374 3.3498


(8)
6
Lattice="5.0012 0.0000 0.0000 2.5006 4.3312 0.0000 2.5006 1.4437 4.0835" Properties=species:S:1:pos:R:3 comment="TmInCu4 | Alexandria | meta-GGA SCAN | single point on PBEsol structure" formation_energy_ev_per_atom=-0.342 dft_energy_ev_per_fu=-148.1 pbc="T T T"
Cu 3.7493 3.6103 2.5528
Cu 5.0012 2.8874 0.5084
Cu 5.0012 1.4418 2.5528
Cu 6.2532 3.6103 2.5528
Tm 2.5006 1.4437 1.0209
In 0.0000 0.0000 0.0000


(9)
32
Lattice="-5.1294 -1.3941 -5.4722 3.4226 -9.8575 -0.6969 -9.4575 -0.5511 9.0054" Properties=species:S:1:pos:R:3 comment="GaSbCl6 | Alexandria | meta-GGA SCAN | single point on PBEsol structure" dft_energy_ev_per_fu=-110.0 pbc="T T T"
Cl -6.6047 -7.4406 -1.4261
Cl -2.6215 -9.3530 -5.1246
Cl -0.8585 -8.3964 1.1629
Cl -4.5595 -4.3621 4.2625
Cl -10.3058 -3.4063 1.6734
Cl -8.5427 -2.4497 7.9609
Cl -8.9528 -8.8843 0.8215
Cl -3.9322 -5.7336 0.8547
Cl -5.4326 -9.1074 1.4240
Cl -7.2321 -6.0691 1.9816
Cl -4.7301 -2.9005 -1.9258
Cl 0.6425 -9.7606 -1.7722
Cl -8.0404 -2.0281 -0.9209
Cl -11.8068 -2.0421 4.6085
Cl -2.4326 -8.1218 -1.7700
Cl -4.0785 -6.2216 -4.2016
Cl -6.4341 -8.9022 4.7621
Cl -7.0858 -5.5811 7.0379
Cl -9.8518 -7.3134 4.6573
Cl -1.3125 -4.4893 -1.8210
Cl -2.2114 -2.9184 2.0148
Cl -5.7317 -2.6953 1.4124
Cl -3.1239 -9.7746 3.7572
Cl -8.7317 -3.6809 4.6063
Ga -4.1310 -4.0448 2.1756
Ga -8.7940 -4.3025 6.7485
Ga -7.0333 -7.7579 0.6607
Ga -2.3703 -7.5002 -3.9122
Sb -6.5935 -3.8747 -0.8848
Sb -4.5707 -7.9280 3.7211
Sb 0.0848 -7.6723 -0.8596
Sb -11.2491 -4.1304 3.6960


(10)
4
Lattice="2.8997 0.0000 0.0000 0.0000 2.8997 0.0000 0.0000 0.0000 5.7923" Properties=species:S:1:pos:R:3 comment="Mn2AlRe | Alexandria | meta-GGA SCAN | single point on PBEsol structure" formation_energy_ev_per_atom=-0.221 dft_energy_ev_per_fu=-116.2 pbc="T T T"
Al 1.4499 1.4499 2.8961
Mn 0.0000 0.0000 4.3676
Mn 0.0000 0.0000 1.4246
Re 1.4499 1.4499 0.0000


(11)
6
Lattice="5.1277 0.0000 0.0000 2.5638 4.4407 0.0000 2.5638 1.4802 4.1867" Properties=species:S:1:pos:R:3 comment="Al4CrAs | Alexandria | meta-GGA SCAN | single point on PBEsol structure" formation_energy_ev_per_atom=0.213 dft_energy_ev_per_fu=-68.3 pbc="T T T"
Al 6.4181 3.7055 2.6202
Al 5.1277 1.4704 2.6202
Al 3.8372 3.7055 2.6202
Al 5.1277 2.9605 0.5129
As 2.5638 1.4802 1.0467
Cr 0.0000 0.0000 0.0000


(12)
5
Lattice="5.1010 0.0000 0.0000 0.0000 5.1010 0.0000 0.0000 0.0000 5.1010" Properties=species:S:1:pos:R:3 comment="Mn3CdI | Alexandria | meta-GGA SCAN | single point on PBEsol structure" dft_energy_ev_per_fu=-119.2 pbc="T T T"
Mn 0.0000 2.5505 0.0000
Mn 0.0000 0.0000 2.5505
Mn 2.5505 0.0000 0.0000
I 2.5505 2.5505 2.5505
Cd 0.0000 0.0000 0.0000


(13)
3
Lattice="-0.9145 -1.8290 1.3567 -2.0499 -2.4653 -4.7053 4.8698 -2.8868 -0.6091" Properties=species:S:1:pos:R:3 comment="KW2 | Alexandria | meta-GGA SCAN | single point on PBEsol structure" formation_energy_ev_per_atom=3.715 dft_energy_ev_per_fu=-136.6 pbc="T T T"
K 0.0000 0.0000 0.0000
W 1.9776 -2.3579 0.3738
W -1.4822 -2.1471 -1.6743


(14)
3
Lattice="3.3815 0.0000 0.0000 0.0000 4.4375 0.0000 0.0000 0.0000 4.4375" Properties=species:S:1:pos:R:3 comment="Pb2C | Alexandria | meta-GGA SCAN | single point on PBEsol structure" formation_energy_ev_per_atom=1.579 dft_energy_ev_per_fu=-156.9 pbc="T T T"
Pb 1.6908 0.0000 2.2188
Pb 1.6908 2.2188 0.0000
C 0.0000 0.0000 0.0000


(15)
4
Lattice="3.3928 0.0000 0.0000 -1.6964 4.9175 -0.0307 0.0000 -2.4308 6.2980" Properties=species:S:1:pos:R:3 comment="CdSb2Cl | Alexandria | meta-GGA SCAN | single point on PBEsol structure" dft_energy_ev_per_fu=-113.8 pbc="T T T"
Sb 1.6964 2.2079 6.1639
Sb 0.0000 -0.1218 4.8721
Cl 1.6964 2.2035 2.2306
Cd 1.6964 -0.5317 2.4172


(16)
4
Lattice="3.4826 0.0000 0.0000 0.0000 3.4826 0.0000 0.0000 0.0000 7.2065" Properties=species:S:1:pos:R:3 comment="CaAl2Cd | Alexandria | meta-GGA SCAN | single point on PBEsol structure" formation_energy_ev_per_atom=-0.071 dft_energy_ev_per_fu=-55.9 pbc="T T T"
Al 0.0000 0.0000 2.1267
Al 0.0000 0.0000 5.0798
Ca 1.7413 1.7413 0.0000
Cd 1.7413 1.7413 3.6032


(17)
5
Lattice="-2.9275 -3.9054 2.5276 2.4158 -3.8285 -3.1174 3.9756 -0.5495 3.7556" Properties=species:S:1:pos:R:3 comment="La3BeP | Alexandria | meta-GGA SCAN | single point on PBEsol structure" formation_energy_ev_per_atom=-0.202 dft_energy_ev_per_fu=-145.1 pbc="T T T"
P 0.0000 0.0000 0.0000
La -1.4638 -1.9527 1.2638
La 1.2079 -1.9142 -1.5587
La 1.9878 -0.2748 1.8778
Be 1.7319 -4.1417 1.5829


(18)
5
Lattice="4.3110 0.0000 0.0000 0.0000 4.3110 0.0000 0.0000 0.0000 4.3110" Properties=species:S:1:pos:R:3 comment="CaSiC3 | Alexandria | meta-GGA SCAN | single point on PBEsol structure" dft_energy_ev_per_fu=-31.7 pbc="T T T"
C 2.1555 0.0000 0.0000
C 0.0000 2.1555 0.0000
C 0.0000 0.0000 2.1555
Ca 0.0000 0.0000 0.0000
Si 2.1555 2.1555 2.1555


(19)
4
Lattice="-1.9640 -1.8526 -2.0609 2.6458 -2.0050 -0.7190 -1.7532 -4.2985 5.5350" Properties=species:S:1:pos:R:3 comment="Ca2RhAu | Alexandria | meta-GGA SCAN | single point on PBEsol structure" formation_energy_ev_per_atom=-0.655 dft_energy_ev_per_fu=-124.9 pbc="T T T"
Rh 0.3409 -1.9288 -1.3900
Ca -1.3458 -3.2996 4.2487
Ca -0.4074 -0.9990 1.2863
Au -0.5357 -4.0781 1.3775


(20)
3
Lattice="3.4354 0.0000 0.0000 0.0000 4.1794 0.0000 -1.7177 -2.0897 5.9527" Properties=species:S:1:pos:R:3 comment="KTlAg | Alexandria | meta-GGA SCAN | single point on PBEsol structure" formation_energy_ev_per_atom=-0.017 dft_energy_ev_per_fu=-112.1 pbc="T T T"
K 1.7177 2.0897 1.9789
Ag 1.7177 2.0897 5.5034
Tl 0.0000 0.0000 4.4231